CuBi2SbH | PBE-GGA | optimized geometry

a b c (Å): 5.642 5.642 3.441
angles (deg): 90.00 90.00 90.00
Space group P4/mmm (No. 123)
One atom of each set of equivalent atoms:
Cu  0.000  0.000  0.000 [1 per cell]
Bi  0.000  0.500  0.000 [2 per cell]
Sb  0.500  0.500  0.500 [1 per cell]
H  0.000  0.000  0.500 [1 per cell]

DFT total energy, eV/atom: -3.64
DOS at the Fermi energy, states/eV/atom: 0.54
Spin magnetization, μB/cell: 0.00